# 1
Here is a PBEsol-optimized structure of Se2SNCl from Alexandria. Energies are from meta-GGA SCAN.

abc: 5.1509 5.1509 3.3312
angles: 90.00 90.00 90.00
Positions (direct):
Se 0.0000 0.5000 0.0000
Se 0.5000 0.0000 0.0000
S 0.0000 0.0000 0.5000
N 0.5000 0.5000 0.5000
Cl 0.5000 0.5000 0.0000

Spin magnetization ... 0.00 μB/cell
Formation energy from raw total energies ... 1902 meV/atom
SG ... P4/mmm, No. 123


# 2
Here is a PBEsol-optimized structure of TlS2NCl from Alexandria. Energies are from meta-GGA SCAN.

abc: 5.1674 5.1674 5.3587
angles: 90.00 90.00 90.00
Positions (direct):
Tl 0.0000 0.0000 0.0000
S 0.0000 0.5000 0.0000
S 0.5000 0.0000 0.0000
N 0.5000 0.5000 0.5000
Cl 0.0000 0.0000 0.5000

Spin magnetization ... 5.18 μB/cell
Formation energy from raw total energies ... 1370 meV/atom
SG ... P4/mmm, No. 123


# 3
Here is a PBEsol-optimized structure of TlSN2Cl from Alexandria. Energies are from meta-GGA SCAN.

abc: 4.2585 4.2585 5.5830
angles: 90.00 90.00 90.00
Positions (direct):
Tl 0.0000 0.0000 0.0000
S 0.0000 0.0000 0.5000
N 0.0000 0.5000 0.0000
N 0.5000 0.0000 0.0000
Cl 0.5000 0.5000 0.5000

Spin magnetization ... 4.47 μB/cell
Formation energy from raw total energies ... 1882 meV/atom
SG ... P4/mmm, No. 123


# 4
Here is a PBEsol-optimized structure of WSNCl5 from Alexandria. Energies are from meta-GGA SCAN.

abc: 5.9111 9.2462 16.0626
angles: 90.00 108.12 90.00
Positions (direct):
W 0.0943 0.1466 0.0911
W 0.0943 0.3534 0.5911
W 0.9057 0.6466 0.4089
W 0.9057 0.8534 0.9089
S 0.4053 0.7098 0.2448
S 0.4053 0.7902 0.7448
S 0.5947 0.2098 0.2552
S 0.5947 0.2902 0.7552
N 0.3587 0.1839 0.1784
N 0.3587 0.3161 0.6784
N 0.6413 0.6839 0.3216
N 0.6413 0.8161 0.8216
Cl 0.0613 0.0127 0.8327
Cl 0.0613 0.4873 0.3327
Cl 0.1455 0.6725 0.8861
Cl 0.1455 0.8275 0.3861
Cl 0.1838 0.2216 0.4856
Cl 0.1838 0.2784 0.9856
Cl 0.2681 0.5615 0.5410
Cl 0.2681 0.9385 0.0410
Cl 0.4294 0.5738 0.1472
Cl 0.4294 0.9262 0.6472
Cl 0.5706 0.0738 0.3528
Cl 0.5706 0.4262 0.8528
Cl 0.7319 0.0615 0.9590
Cl 0.7319 0.4385 0.4590
Cl 0.8162 0.7216 0.0144
Cl 0.8162 0.7784 0.5144
Cl 0.8545 0.1725 0.6139
Cl 0.8545 0.3275 0.1139
Cl 0.9387 0.5127 0.6673
Cl 0.9387 0.9873 0.1673

Spin magnetization ... 0.00 μB/cell
Formation energy from raw total energies ... -645 meV/atom
SG ... P2_1/c, No. 14


# 5
Here is a PBEsol-optimized structure of WS2NCl from Alexandria. Energies are from meta-GGA SCAN.

abc: 4.7059 4.7059 3.8441
angles: 90.00 90.00 90.00
Positions (direct):
W 0.0000 0.0000 0.0000
S 0.0000 0.5000 0.0000
S 0.5000 0.0000 0.0000
N 0.0000 0.0000 0.5000
Cl 0.5000 0.5000 0.5000

Spin magnetization ... 1.70 μB/cell
Formation energy from raw total energies ... 320 meV/atom
SG ... P4/mmm, No. 123


# 6
Here is a PBEsol-optimized structure of ZnSN2Cl from Alexandria. Energies are from meta-GGA SCAN.

abc: 3.4491 3.4491 6.7315
angles: 90.00 90.00 90.00
Positions (direct):
Zn 0.0000 0.0000 0.0000
S 0.5000 0.5000 0.0000
N 0.0000 0.5000 0.5000
N 0.5000 0.0000 0.5000
Cl 0.5000 0.5000 0.5000

Spin magnetization ... 0.00 μB/cell
Formation energy from raw total energies ... 2007 meV/atom
SG ... P4/mmm, No. 123